Compound: La2ErHf
Source: Alexandria
Functional: PBE
Structure: relaxed

The space group is R-3m (No. 166, hexagonal axes) and the conventional cell measures 3.3780, 3.3780 and 36.8788 Å, with angles of 90.00, 90.00 and 120.00 degrees. The distinct sites, in fractional coordinates, are La at (0.0000, 0.0000, 0.0833), Er at (0.0000, 0.0000, 0.5000) and Hf at (0.0000, 0.0000, 0.0000).

As for the energy above the most stable polymorph in this dataset: 18.9 kJ/mol of atoms. The value obtained for the spin magnetization is 0.0 μB per formula unit.